# 1
A geometry-optimized BeIn2As structure, computed with PBE-GGA.

Density, Mg/m³: 6.20
Formation energy from the elements, meV/atom: 436.5
Energy relative to the lowest polymorph listed for this composition, meV/atom: 332.4
M_tot, μB per formula unit: 0.00
DFT total energy, eV/atom: -3.027

a = 5.1796 Å, b = 5.1796 Å, c = 5.1796 Å
α = 134.78°, β = 118.48°, γ = 79.56°
Last column: nearest neighbours and their distance in Å.
Atoms (fractional coordinates):
1 Be 0.0000 0.0000 0.0000  4 In 2.68
2 In 0.2249 0.7249 0.5000  2 Be 2.68, 2 As 2.96
3 In 0.7751 0.2751 0.5000  2 Be 2.68, 2 As 2.96
4 As 0.5000 0.5000 0.0000  8 In 2.96-3.20, 4 Be 3.31

***

# 2
A geometry-optimized BeIn2As structure, computed with PBE-GGA.

Density, Mg/m³: 5.71
Formation energy from the elements, meV/atom: 184.3
Energy relative to the lowest polymorph listed for this composition, meV/atom: 80.2
M_tot, μB per formula unit: 0.00
DFT total energy, eV/atom: -3.279

a = 6.6626 Å, b = 6.6626 Å, c = 6.6626 Å
α = 148.26°, β = 143.92°, γ = 48.80°
Last column: nearest neighbours and their distance in Å.
Atoms (fractional coordinates):
1 Be 0.0000 0.0000 0.0000  2 As 2.21
2 In 0.2742 0.7742 0.5000  4 As 3.13, 2 In 3.18, 2 Be 3.43
3 In 0.5746 0.5746 0.0000  4 Be 2.90, 2 As 2.98, 2 In 3.18
4 As 0.8974 0.3974 0.5000  2 Be 2.21

***

# 3
A geometry-optimized BeInAs structure, computed with PBE-GGA.

Density, Mg/m³: 5.03
Formation energy from the elements, meV/atom: 636.9
Energy relative to the lowest polymorph listed for this composition, meV/atom: 667.5
M_tot, μB per formula unit: 0.00
DFT total energy, eV/atom: -3.068

a = 4.5265 Å, b = 4.5265 Å, c = 4.5265 Å
α = 60.00°, β = 60.00°, γ = 60.00°
Last column: nearest neighbours and their distance in Å.
Atoms (fractional coordinates):
1 Be 0.0000 0.0000 0.0000  4 In 2.77
2 In 0.2500 0.2500 0.2500  4 As 2.77, 4 Be 2.77
3 As 0.5000 0.5000 0.5000  4 In 2.77

***

# 4
A geometry-optimized BeIn2As structure, computed with PBE-GGA.

Density, Mg/m³: 6.12
Formation energy from the elements, meV/atom: 521.0
Energy relative to the lowest polymorph listed for this composition, meV/atom: 416.9
M_tot, μB per formula unit: 0.00
DFT total energy, eV/atom: -2.942

a = 4.9377 Å, b = 4.9377 Å, c = 4.9377 Å
α = 60.00°, β = 60.00°, γ = 60.00°
Last column: nearest neighbours and their distance in Å.
Atoms (fractional coordinates):
1 Be 0.0000 0.0000 0.0000  4 In 3.02, 4 As 3.02
2 In 0.5000 0.5000 0.5000  4 In 3.02, 4 As 3.02
3 In 0.7500 0.7500 0.7500  4 In 3.02, 4 Be 3.02
4 As 0.2500 0.2500 0.2500  4 In 3.02, 4 Be 3.02

***

Among the records above, which one has the highest formation energy from the elements?
BeInAs

***

What is the DFT total energy in the second record?
-3.279 eV/atom